The following is a PBE calculation of crystalline Hf2HRhAu at its relaxed geometry, from Alexandria via LeMat-Bulk.

Cell: 4.548 4.548 3.693 Å, 90.00 90.00 90.00°
Atoms (fractional coordinates):
Hf: 0.500 0.000 0.000
Hf: 0.000 0.500 0.000
Rh: 0.000 0.000 0.500
H: 0.000 0.000 0.000
Au: 0.500 0.500 0.500

Values from the calculation:
VASP energy ... -7.27 eV per atom
V ... 76.39 Å³/cell
Symmetry ... P4/mmm


The following is a PBE calculation of crystalline K2Sm2TiSe6 at its relaxed geometry, from Alexandria via LeMat-Bulk.

Cell: 7.052 7.052 8.213 Å, 98.77 98.77 119.25°
Atoms (fractional coordinates):
Se: 0.373 0.071 0.699
Se: 0.769 0.769 0.695
Se: 0.929 0.627 0.301
Se: 0.231 0.231 0.305
Se: 0.627 0.929 0.301
Se: 0.071 0.373 0.699
K: 0.827 0.173 0.000
K: 0.173 0.827 0.000
Sm: 0.333 0.667 0.500
Sm: 0.667 0.333 0.500
Ti: 0.000 0.000 0.500

Values from the calculation:
VASP energy ... -5.20 eV per atom
V ... 339.74 Å³/cell
Symmetry ... C2/m
Formation energy from raw total energies ... -16.8 eV per formula unit


The following is a PBE calculation of crystalline Dy2ErFe at its relaxed geometry, from Alexandria via LeMat-Bulk.

Cell: 3.344 3.344 8.954 Å, 90.00 90.00 90.00°
Atoms (fractional coordinates):
Er: 0.500 0.500 0.500
Fe: 0.500 0.500 0.000
Dy: 0.000 0.000 0.819
Dy: 0.000 0.000 0.181

Values from the calculation:
VASP energy ... -5.45 eV per atom
V ... 100.14 Å³/cell
Symmetry ... P4/mmm


The following is a PBE calculation of crystalline Nd4YCd2 at its relaxed geometry, from Alexandria via LeMat-Bulk.

Cell: 8.974 9.014 9.010 Å, 136.98 104.25 91.34°
Atoms (fractional coordinates):
Y: 0.158 0.157 0.002
Y: 0.092 0.593 0.498
Cd: 0.125 0.374 0.750
Cd: 0.625 0.875 0.250
Cd: 0.625 0.375 0.750
Cd: 0.625 0.375 0.250
Nd: 0.377 0.113 0.737
Nd: 0.967 0.727 0.241
Nd: 0.283 0.024 0.260
Nd: 0.376 0.640 0.263
Nd: 0.484 0.726 0.759
Nd: 0.766 0.024 0.741
Nd: 0.874 0.637 0.763
Nd: 0.874 0.110 0.237

Values from the calculation:
VASP energy ... -3.84 eV per atom
V ... 458.63 Å³/cell
Symmetry ... P1


Q: Which of these has the lowest VASP energy?
A: Hf2HRhAu


Q: What is the V in the first record?
A: 76.39 Å³/cell


Q: V of number 2 (K2Sm2TiSe6)?
A: 339.74 Å³/cell


Q: What is the V in the third record?
A: 100.14 Å³/cell